Compound: RhPbSe2
Source: Alexandria
Functional: GGA-PBEsol
Structure: optimized geometry

Values from the calculation:
Energy: -4.6846 eV per atom
Formation energy without anion corrections: 0.275 eV per atom

Cell and atoms, written as extended XYZ:
```
4
Lattice="3.068 0.000 0.000 1.534 2.657 0.000 1.534 0.886 10.254" Properties=species:S:1:pos:R:3 pbc="T T T"
Pb 3.068 1.771 5.127
Rh 0.000 0.000 0.000
Se 4.602 2.657 2.335
Se 1.534 0.886 7.918
```